Entry 1:
Material: LaPb3
Method: DFT, GGA-PBE
State: relaxed

crystal system: trigonal
ΔE_f: -0.248 eV/atom
electronic total energy: -4.261 eV per atom
total magnetization: 0.00 μB per cell

Structure (CIF):
```
data_LaPb3
_space_group_name_H-M_alt 'R -3 m'
_space_group_IT_number 166
_space_group_name_Hall '-R 3 2"'
_cell_length_a 11.2458
_cell_length_b 11.2458
_cell_length_c 3.4525
_cell_angle_alpha 90.00
_cell_angle_beta 90.00
_cell_angle_gamma 120.00
loop_
_atom_site_label
_atom_site_fract_x
_atom_site_fract_y
_atom_site_fract_z
La1 0.0000 0.0000 0.0000
Pb1 0.0000 0.5000 0.0000
```

=====

Entry 2:
Material: AlPPb2
Method: DFT, GGA-PBE
State: relaxed

crystal system: tetragonal
ΔE_f: 0.360 eV/atom
electronic total energy: -3.782 eV per atom
total magnetization: 0.00 μB per cell

Structure (CIF):
```
data_AlPPb2
_space_group_name_H-M_alt 'I 4/m m m'
_space_group_IT_number 139
_space_group_name_Hall '-I 4 2'
_cell_length_a 4.8228
_cell_length_b 4.8228
_cell_length_c 8.4371
_cell_angle_alpha 90.00
_cell_angle_beta 90.00
_cell_angle_gamma 90.00
loop_
_atom_site_label
_atom_site_fract_x
_atom_site_fract_y
_atom_site_fract_z
Al1 0.0000 0.0000 0.0000
P1 0.0000 0.0000 0.5000
Pb1 0.0000 0.5000 0.2500
```

=====

Entry 3:
Material: SrNi2Os
Method: DFT, GGA-PBE
State: relaxed

crystal system: tetragonal
ΔE_f: 0.560 eV/atom
electronic total energy: -5.559 eV per atom
total magnetization: 0.00 μB per cell

Structure (CIF):
```
data_SrNi2Os
_space_group_name_H-M_alt 'I 41/a m d'
_space_group_IT_number 141
_cell_length_a 4.8438
_cell_length_b 4.8438
_cell_length_c 15.6334
_cell_angle_alpha 90.00
_cell_angle_beta 90.00
_cell_angle_gamma 90.00
loop_
_space_group_symop_operation_xyz
'x,y,z'
'-x,-y,-z'
'-y+1/4,x+3/4,z+1/4'
'y+1/4,-x+3/4,-z+1/4'
'-x+1/2,-y,z+1/2'
'x+1/2,y,-z+1/2'
'y+1/4,-x+1/4,z+3/4'
'-y+1/4,x+1/4,-z+3/4'
'x,-y,-z'
'-x,y,z'
'-y+1/4,-x+1/4,-z+3/4'
'y+1/4,x+1/4,z+3/4'
'-x+1/2,y,-z+1/2'
'x+1/2,-y,z+1/2'
'y+1/4,x+3/4,-z+1/4'
'-y+1/4,-x+3/4,z+1/4'
'x+1/2,y+1/2,z+1/2'
'-x+1/2,-y+1/2,-z+1/2'
'-y+3/4,x+1/4,z+3/4'
'y+3/4,-x+1/4,-z+3/4'
'-x,-y+1/2,z'
'x,y+1/2,-z'
'y+3/4,-x+3/4,z+1/4'
'-y+3/4,x+3/4,-z+1/4'
'x+1/2,-y+1/2,-z+1/2'
'-x+1/2,y+1/2,z+1/2'
'-y+3/4,-x+3/4,-z+1/4'
'y+3/4,x+3/4,z+1/4'
'-x,y+1/2,-z'
'x,-y+1/2,z'
'y+3/4,x+1/4,-z+3/4'
'-y+3/4,-x+1/4,z+3/4'
loop_
_atom_site_label
_atom_site_fract_x
_atom_site_fract_y
_atom_site_fract_z
Sr1 0.0000 0.2500 0.3750
Ni1 0.0000 0.0000 0.0000
Os1 0.0000 0.2500 0.8750
```

=====

Entry 4:
Material: Tl2TcBr4F2
Method: DFT, GGA-PBE
State: relaxed

crystal system: monoclinic
formation energy (no corrections): -1.101 eV per atom
electronic total energy: -3.938 eV per atom
total magnetization: 6.00 μB per cell

Structure (CIF):
```
data_Tl2TcBr4F2
_space_group_name_H-M_alt 'C 1 2/m 1'
_space_group_IT_number 12
_cell_length_a 11.6982
_cell_length_b 7.4897
_cell_length_c 7.0443
_cell_angle_alpha 90.00
_cell_angle_beta 123.58
_cell_angle_gamma 90.00
loop_
_space_group_symop_operation_xyz
'x,y,z'
'-x,-y,-z'
'-x,y,-z'
'x,-y,z'
'x+1/2,y+1/2,z'
'-x+1/2,-y+1/2,-z'
'-x+1/2,y+1/2,-z'
'x+1/2,-y+1/2,z'
loop_
_atom_site_label
_atom_site_fract_x
_atom_site_fract_y
_atom_site_fract_z
Tl1 0.2372 0.0000 0.2923
Tc1 0.0000 0.5000 0.0000
Br1 0.0434 0.2587 0.7953
F1 0.1946 0.5000 0.2540
```

=====

Entry 5:
Material: YTeAs2
Method: DFT, GGA-PBE
State: relaxed

crystal system: orthorhombic
formation energy (no corrections): -0.712 eV per atom
electronic total energy: -5.438 eV per atom
total magnetization: 0.00 μB per cell

Structure (CIF):
```
data_YTeAs2
_space_group_name_H-M_alt 'A m m 2'
_space_group_IT_number 38
_cell_length_a 4.1894
_cell_length_b 4.2556
_cell_length_c 10.9803
_cell_angle_alpha 90.00
_cell_angle_beta 90.00
_cell_angle_gamma 90.00
loop_
_space_group_symop_operation_xyz
'x,y,z'
'-x,-y,z'
'-x,y,z'
'x,-y,z'
'x,y+1/2,z+1/2'
'-x,-y+1/2,z+1/2'
'-x,y+1/2,z+1/2'
'x,-y+1/2,z+1/2'
loop_
_atom_site_label
_atom_site_fract_x
_atom_site_fract_y
_atom_site_fract_z
Y1 0.0000 0.0000 0.0000
Te1 0.0000 0.0000 0.7121
As1 0.5000 0.0000 0.2099
As2 0.5000 0.0000 0.4358
```

=====

Entry 6:
Material: LaCeBiAs
Method: DFT, GGA-PBE
State: relaxed

crystal system: trigonal
ΔE_f: -1.192 eV/atom
electronic total energy: -6.040 eV per atom
total magnetization: 2.30 μB per cell

Structure (CIF):
```
data_LaCeBiAs
_space_group_name_H-M_alt 'R 3 m'
_space_group_IT_number 160
_space_group_name_Hall 'R 3 -2"'
_cell_length_a 4.4442
_cell_length_b 4.4442
_cell_length_c 22.1858
_cell_angle_alpha 90.00
_cell_angle_beta 90.00
_cell_angle_gamma 120.00
loop_
_atom_site_label
_atom_site_fract_x
_atom_site_fract_y
_atom_site_fract_z
La1 0.0000 0.0000 0.0000
Ce1 0.0000 0.0000 0.4851
Bi1 0.0000 0.0000 0.2397
As1 0.0000 0.0000 0.7454
```

=====

Entry 7:
Material: Na2Ta2TiTe6
Method: DFT, GGA-PBE
State: relaxed

crystal system: monoclinic
formation energy (no corrections): -0.548 eV per atom
electronic total energy: -5.374 eV per atom
total magnetization: 0.77 μB per cell

Structure (CIF):
```
data_Na2Ta2TiTe6
_space_group_name_H-M_alt 'C 1 2/m 1'
_space_group_IT_number 12
_cell_length_a 6.7080
_cell_length_b 11.6987
_cell_length_c 8.2486
_cell_angle_alpha 90.00
_cell_angle_beta 102.21
_cell_angle_gamma 90.00
loop_
_space_group_symop_operation_xyz
'x,y,z'
'-x,-y,-z'
'-x,y,-z'
'x,-y,z'
'x+1/2,y+1/2,z'
'-x+1/2,-y+1/2,-z'
'-x+1/2,y+1/2,-z'
'x+1/2,-y+1/2,z'
loop_
_atom_site_label
_atom_site_fract_x
_atom_site_fract_y
_atom_site_fract_z
Na1 0.0000 0.1870 0.0000
Ta1 0.0000 0.3754 0.5000
Ti1 0.0000 0.0000 0.5000
Te1 0.2145 0.1756 0.6932
Te2 0.2495 0.5000 0.7449
```

=====

Entry 8:
Material: Cs2Zn2Ge
Method: DFT, GGA-PBE
State: relaxed

crystal system: tetragonal
ΔE_f: 0.277 eV/atom
electronic total energy: -1.498 eV per atom
total magnetization: 0.89 μB per cell

Structure (CIF):
```
data_Cs2Zn2Ge
_space_group_name_H-M_alt 'I 4/m m m'
_space_group_IT_number 139
_space_group_name_Hall '-I 4 2'
_cell_length_a 3.7833
_cell_length_b 3.7833
_cell_length_c 24.3696
_cell_angle_alpha 90.00
_cell_angle_beta 90.00
_cell_angle_gamma 90.00
loop_
_atom_site_label
_atom_site_fract_x
_atom_site_fract_y
_atom_site_fract_z
Cs1 0.0000 0.0000 0.1053
Zn1 0.0000 0.5000 0.2500
Ge1 0.0000 0.0000 0.5000
```

=====

Entry 9:
Material: ErB2S6
Method: DFT, GGA-PBE
State: relaxed

crystal system: monoclinic
formation energy (no corrections): -0.557 eV per atom
electronic total energy: -5.300 eV per atom
total magnetization: 0.00 μB per cell

Structure (CIF):
```
data_ErB2S6
_space_group_name_H-M_alt 'C 1 2/c 1'
_space_group_IT_number 15
_cell_length_a 13.4562
_cell_length_b 9.3148
_cell_length_c 6.1570
_cell_angle_alpha 90.00
_cell_angle_beta 97.71
_cell_angle_gamma 90.00
loop_
_space_group_symop_operation_xyz
'x,y,z'
'-x,-y,-z'
'-x,y,-z+1/2'
'x,-y,z+1/2'
'x+1/2,y+1/2,z'
'-x+1/2,-y+1/2,-z'
'-x+1/2,y+1/2,-z+1/2'
'x+1/2,-y+1/2,z+1/2'
loop_
_atom_site_label
_atom_site_fract_x
_atom_site_fract_y
_atom_site_fract_z
Er1 0.0000 0.1366 0.2500
B1 0.2376 0.0778 0.6540
S1 0.0995 0.1000 0.6508
S2 0.1898 0.2628 0.2116
S3 0.2076 0.4327 0.6424
```

=====

Entry 10:
Material: Ag2HgPt
Method: DFT, GGA-PBE
State: relaxed

crystal system: orthorhombic
ΔE_f: 0.043 eV/atom
electronic total energy: -2.969 eV per atom
total magnetization: 0.00 μB per cell

Structure (CIF):
```
data_Ag2HgPt
_space_group_name_H-M_alt 'P m m m'
_space_group_IT_number 47
_cell_length_a 2.9348
_cell_length_b 4.2885
_cell_length_c 5.7382
_cell_angle_alpha 90.00
_cell_angle_beta 90.00
_cell_angle_gamma 90.00
loop_
_space_group_symop_operation_xyz
'x,y,z'
'-x,-y,-z'
'-x,-y,z'
'x,y,-z'
'x,-y,-z'
'-x,y,z'
'-x,y,-z'
'x,-y,z'
loop_
_atom_site_label
_atom_site_fract_x
_atom_site_fract_y
_atom_site_fract_z
Ag1 0.0000 0.0000 0.2404
Hg1 0.5000 0.5000 0.5000
Pt1 0.5000 0.5000 0.0000
```

=====

Entry 11:
Material: LaTbYHg
Method: DFT, GGA-PBE
State: relaxed

crystal system: cubic
ΔE_f: -0.071 eV/atom
electronic total energy: -4.152 eV per atom
total magnetization: 1.48 μB per cell

Structure (CIF):
```
data_LaTbYHg
_space_group_name_H-M_alt 'F -4 3 m'
_space_group_IT_number 216
_space_group_name_Hall 'F -4 2 3'
_cell_length_a 7.8145
_cell_length_b 7.8145
_cell_length_c 7.8145
_cell_angle_alpha 90.00
_cell_angle_beta 90.00
_cell_angle_gamma 90.00
loop_
_atom_site_label
_atom_site_fract_x
_atom_site_fract_y
_atom_site_fract_z
La1 0.0000 0.0000 0.0000
Tb1 0.2500 0.2500 0.7500
Y1 0.0000 0.0000 0.5000
Hg1 0.2500 0.2500 0.2500
```

=====

Entry 12:
Material: AlCrAg2
Method: DFT, GGA-PBE
State: relaxed

crystal system: tetragonal
ΔE_f: 0.251 eV/atom
electronic total energy: -4.517 eV per atom
total magnetization: 4.15 μB per cell

Structure (CIF):
```
data_AlCrAg2
_space_group_name_H-M_alt 'P 4/m m m'
_space_group_IT_number 123
_space_group_name_Hall '-P 4 2'
_cell_length_a 3.2074
_cell_length_b 3.2074
_cell_length_c 6.5563
_cell_angle_alpha 90.00
_cell_angle_beta 90.00
_cell_angle_gamma 90.00
loop_
_atom_site_label
_atom_site_fract_x
_atom_site_fract_y
_atom_site_fract_z
Al1 0.0000 0.0000 0.0000
Cr1 0.0000 0.0000 0.5000
Ag1 0.5000 0.5000 0.2397
```

=====

Question: What is the total magnetization in the fifth record?
Answer: 0.00 μB per cell

=====

Question: Which of these has the highest electronic total energy?
Answer: Cs2Zn2Ge

=====

Question: Which of these has the lowest electronic total energy?
Answer: LaCeBiAs